(1)
## LaTaFe2 (PBE)

Data for LaTaFe2 after structural relaxation.

The space group is P4mm (No. 99) and the conventional cell measures 3.118, 3.118 and 7.519 Å, with angles of 90.00, 90.00 and 90.00 degrees. The distinct sites, in fractional coordinates, are La at (0.000, 0.000, 0.000), Ta at (0.500, 0.500, 0.342), Fe at (0.000, 0.000, 0.529) and Fe at (0.500, 0.500, 0.697).

The formation energy is 259.7 meV/atom. As for the theoretical density: 9803 kg/m³.

(2)
## LaTaFe4 (PBE)

Data for LaTaFe4 after structural relaxation.

The space group is F-43m (No. 216) and the conventional cell measures 7.158, 7.158 and 7.158 Å, with angles of 90.00, 90.00 and 90.00 degrees. The distinct sites, in fractional coordinates, are La at (0.000, 0.000, 0.000), Ta at (0.250, 0.250, 0.750) and Fe at (0.124, 0.124, 0.376).

The formation energy is 172.5 meV/atom. As for the theoretical density: 9839 kg/m³.

(3)
## LaTa2Fe (PBE)

Data for LaTa2Fe after structural relaxation.

The space group is Pm (No. 6) and the conventional cell measures 3.132, 4.070 and 6.678 Å, with angles of 90.00, 100.28 and 90.00 degrees. The distinct sites, in fractional coordinates, are La at (0.000, 0.000, 0.000), Ta at (0.145, 0.000, 0.548), Ta at (0.608, 0.500, 0.350) and Fe at (0.528, 0.500, 0.693).

The formation energy is 363.7 meV/atom. As for the theoretical density: 11035 kg/m³.